<P>
A geometry-optimized ZrTaSi2 structure. Source: Alexandria via LeMat-Bulk, functional GGA-PBEsol.

a b c (Å): 6.373 6.373 6.373
angles (deg): 90.00 90.00 90.00
Space group F-43m (No. 216)
Unique sites:
Zr 0.000 0.000 0.000
Ta 0.250 0.250 0.250
Si 0.000 0.000 0.500
Si 0.250 0.250 0.750

---

<Q>
A geometry-optimized ZrTaSi2 structure. Source: Alexandria via LeMat-Bulk, functional GGA-PBEsol.

a b c (Å): 3.007 3.701 6.067
angles (deg): 90.00 102.77 90.00
Space group P2/m (No. 10)
Unique sites:
Zr 0.000 0.000 0.000
Ta 0.000 0.000 0.500
Si 0.473 0.500 0.279

---

Which one is the least stable? From the structures above, <P>.